[1]
Material: HoHfZr
Method: DFT, GGA-PBE
State: relaxed

polymorph energy (0 for the lowest one) = 0.000 eV per atom
Fermi-level density of states = 3.908 states/eV/f.u.
total DFT energy (no corrections) = -22.75 eV per cell
symmetry = I4mm

Cell: 3.191 3.191 7.788 Å, 101.82 101.82 90.00°
Sites, in units of the cell vectors:
Hf 0.324 0.324 0.648
Ho 0.996 0.996 0.993
Zr 0.680 0.680 0.359


[2]
Material: BaCeGa2Ge2
Method: DFT, GGA-PBE
State: relaxed

Fermi-level density of states = 5.554 states/eV/f.u.
total DFT energy (no corrections) = -26.64 eV per cell
symmetry = P-3m1

Cell: 4.271 4.271 9.576 Å, 90.00 90.00 120.00°
Each line ends with the local moment (μB).
Sites, in units of the cell vectors:
Ba 0.000 0.000 0.000  -0.01
Ce 0.000 0.000 0.500  0.32
Ga 0.667 0.333 0.314  -0.01
Ga 0.333 0.667 0.686  -0.01
Ge 0.667 0.333 0.758  0.00
Ge 0.333 0.667 0.242  0.00


[3]
Material: La7Nd6Tm16
Method: DFT, GGA-PBE
State: relaxed

Fermi-level density of states = 47.202 states/eV/f.u.
total DFT energy (no corrections) = -127.58 eV per cell
symmetry = Fm-3m

Cell: 11.317 11.317 11.317 Å, 60.00 60.00 60.00°
Sites, in units of the cell vectors:
La 0.000 0.000 0.000
La 0.500 0.000 0.500
La 0.000 0.500 0.000
La 0.000 0.500 0.500
La 0.500 0.000 0.000
La 0.000 0.000 0.500
La 0.500 0.500 0.000
Nd 0.256 0.744 0.256
Nd 0.744 0.256 0.744
Nd 0.744 0.256 0.256
Nd 0.256 0.744 0.744
Nd 0.744 0.744 0.256
Nd 0.256 0.256 0.744
Tm 0.870 0.870 0.390
Tm 0.870 0.870 0.870
Tm 0.870 0.390 0.870
Tm 0.390 0.870 0.870
Tm 0.130 0.130 0.130
Tm 0.130 0.130 0.610
Tm 0.130 0.610 0.130
Tm 0.610 0.130 0.130
Tm 0.654 0.654 0.039
Tm 0.654 0.654 0.654
Tm 0.654 0.039 0.654
Tm 0.039 0.654 0.654
Tm 0.346 0.346 0.346
Tm 0.346 0.346 0.961
Tm 0.346 0.961 0.346
Tm 0.961 0.346 0.346


[4]
Material: SrNb4S8
Method: DFT, GGA-PBE
State: relaxed

polymorph energy (0 for the lowest one) = 0.000 eV per atom
Fermi-level density of states = 7.121 states/eV/f.u.
total DFT energy (no corrections) = -90.70 eV per cell
symmetry = C2/m

Cell: 6.836 6.836 8.170 Å, 99.47 105.12 119.45°
Sites, in units of the cell vectors:
Sr 0.000 0.500 0.500
Nb 0.211 0.211 0.000
Nb 0.789 0.789 0.000
Nb 0.240 0.764 0.004
Nb 0.760 0.236 0.996
S 0.696 0.011 0.209
S 0.198 0.514 0.209
S 0.678 0.504 0.181
S 0.212 0.021 0.234
S 0.788 0.979 0.766
S 0.322 0.496 0.819
S 0.802 0.486 0.791
S 0.304 0.989 0.791


| no. | size of the total moment (μB per formula unit) |
| --- | --- |
| 1 | 0.000 |
| 2 | 0.279 |
| 3 | 0.000 |
| 4 | 0.000 |